Entry 1:
! K2MgI4 | the Alexandria database | GGA-PBE | relaxed; values from VASP
! Space group ... No. 12
! Theoretical density ... 3.59 Mg/m³
! Offset from the most stable computed form ... 34.3 meV per atom
! Formation energy from raw total energies ... -1.25 eV/atom
! Volume ... 40.3 Å³ per atom
&SYSTEM
  ibrav = 0, nat = 7, ntyp = 3
/
ATOMIC_SPECIES
I 126.90 I.upf
K 39.10 K.upf
Mg 24.30 Mg.upf
ATOMIC_POSITIONS crystal
I 0.350 0.769 0.701
K 0.351 0.385 0.702
I 0.650 0.231 0.299
Mg 0.000 0.000 0.000
I 0.049 0.763 0.099
I 0.951 0.237 0.901
K 0.649 0.615 0.298
CELL_PARAMETERS angstrom
4.485 0.000 0.000
0.000 9.469 -0.683
-2.243 -5.267 7.028

Entry 2:
! Pm3IrOs | the Alexandria database | GGA-PBE | relaxed; values from VASP
! Space group ... No. 14
! Theoretical density ... 10.79 Mg/m³
! Electronic total energy ... -143.1 eV for the cell shown
! Volume ... 25.2 Å³ per atom
&SYSTEM
  ibrav = 0, nat = 20, ntyp = 3
/
ATOMIC_SPECIES
Pm 145.00 Pm.upf
Os 190.23 Os.upf
Ir 192.22 Ir.upf
ATOMIC_POSITIONS crystal
Pm 0.014 0.672 0.802
Os 0.749 0.005 0.504
Pm 0.002 0.033 0.801
Pm 0.986 0.328 0.198
Pm 0.998 0.967 0.199
Ir 0.173 0.421 0.951
Pm 0.996 0.291 0.618
Pm 0.004 0.709 0.382
Ir 0.673 0.079 0.049
Pm 0.504 0.791 0.618
Ir 0.327 0.921 0.951
Os 0.249 0.495 0.496
Os 0.751 0.505 0.504
Os 0.251 0.995 0.496
Pm 0.496 0.209 0.382
Ir 0.827 0.579 0.049
Pm 0.514 0.828 0.198
Pm 0.498 0.533 0.801
Pm 0.486 0.172 0.802
Pm 0.502 0.467 0.199
CELL_PARAMETERS angstrom
-0.909 1.039 6.262
1.149 -9.732 1.781
7.345 4.474 0.323

no.,total magnetic moment (μB per cell)
1,0.0
2,0.0